(1)
DFT (GGA-PBE) results for a relaxed structure of KPa4HgN8.

It has space group R3m (No. 160, hexagonal axes), with a = 7.1740 Å, b = 7.1740 Å, c = 18.1462 Å, α = 90.00°, β = 90.00° and γ = 120.00°. The asymmetric unit holds K at (0.0000, 0.0000, 0.0000), Pa at (0.0000, 0.0000, 0.4795), Pa at (0.1703, 0.3406, 0.8358), Hg at (0.0000, 0.0000, 0.6532), N at (0.0000, 0.0000, 0.2208), N at (0.0000, 0.0000, 0.7734), N at (0.0132, 0.5066, 0.2181) and N at (0.0154, 0.5077, 0.7790).

Its volume is 19.26 A^3/atom. Its calculated total energy is -8.548 eV/atom. As for the density of states at the Fermi level: 54.193 states/eV per cell. The uncorrected formation energy is -0.978 eV per atom.

(2)
DFT (GGA-PBE) results for a relaxed structure of K2HgPbN.

It has space group P4/mmm (No. 123), with a = 6.890 Å, b = 6.890 Å, c = 3.872 Å, α = 90.00°, β = 90.00° and γ = 90.00°. The asymmetric unit holds K at (0.000, 0.500, 0.000), Hg at (0.000, 0.000, 0.000), Pb at (0.500, 0.500, 0.500) and N at (0.000, 0.000, 0.500).

Its volume is 36.76 A^3/atom. Its calculated total energy is -2.362 eV/atom. As for the density of states at the Fermi level: 2.251 states/eV per cell. The uncorrected formation energy is 0.544 eV per atom.

(3)
DFT (GGA-PBE) results for a relaxed structure of K2HgPdN.

It has space group P4/mmm (No. 123), with a = 5.946 Å, b = 5.946 Å, c = 3.815 Å, α = 90.00°, β = 90.00° and γ = 90.00°. The asymmetric unit holds K at (0.000, 0.500, 0.000), Hg at (0.000, 0.000, 0.500), Pd at (0.500, 0.500, 0.500) and N at (0.500, 0.500, 0.000).

Its volume is 26.98 A^3/atom. Its calculated total energy is -3.225 eV/atom. As for the density of states at the Fermi level: 2.291 states/eV per cell. The uncorrected formation energy is -0.022 eV per atom.

(4)
DFT (GGA-PBE) results for a relaxed structure of K2HgPtN.

It has space group P4/mmm (No. 123), with a = 6.014 Å, b = 6.014 Å, c = 3.757 Å, α = 90.00°, β = 90.00° and γ = 90.00°. The asymmetric unit holds K at (0.000, 0.500, 0.000), Hg at (0.000, 0.000, 0.500), Pt at (0.500, 0.500, 0.500) and N at (0.500, 0.500, 0.000).

Its volume is 27.18 A^3/atom. Its calculated total energy is -3.573 eV/atom. The value obtained for the energy relative to the lowest polymorph listed for this composition is 0.000 eV/atom. As for the density of states at the Fermi level: 1.382 states/eV per cell. The uncorrected formation energy is -0.201 eV per atom.

(5)
DFT (GGA-PBE) results for a relaxed structure of K2HgPtN.

It has space group P4/mmm (No. 123), with a = 6.447 Å, b = 6.447 Å, c = 3.738 Å, α = 90.00°, β = 90.00° and γ = 90.00°. The asymmetric unit holds K at (0.000, 0.500, 0.000), Hg at (0.000, 0.000, 0.500), Pt at (0.500, 0.500, 0.000) and N at (0.500, 0.500, 0.500).

Its volume is 31.07 A^3/atom. Its calculated total energy is -3.450 eV/atom. The value obtained for the energy relative to the lowest polymorph listed for this composition is 0.123 eV/atom. As for the density of states at the Fermi level: 1.503 states/eV per cell. The uncorrected formation energy is -0.078 eV per atom.

(6)
DFT (GGA-PBE) results for a relaxed structure of KHgSN2.

It has space group P4/mmm (No. 123), with a = 4.550 Å, b = 4.550 Å, c = 5.283 Å, α = 90.00°, β = 90.00° and γ = 90.00°. The asymmetric unit holds K at (0.000, 0.000, 0.000), Hg at (0.500, 0.500, 0.500), S at (0.500, 0.500, 0.000) and N at (0.000, 0.500, 0.500).

Its volume is 21.88 A^3/atom. Its calculated total energy is -3.059 eV/atom. The value obtained for the energy relative to the lowest polymorph listed for this composition is 0.000 eV/atom. As for the density of states at the Fermi level: 2.858 states/eV per cell. The uncorrected formation energy is 1.377 eV per atom.